Pm7PrDy12 PBE optimized geometry; formation energy from the elements = 0.6321 eV per atom; energy above the lowest structure with this stoichiometry = 0.3499 eV per atom; symmetry = Im-3m
1.0
-5.663 5.663 5.663
5.663 -5.663 5.663
5.663 5.663 -5.663
Pm Pr Dy
7 1 12
Cartesian
2.832 2.832 -2.832
2.832 -2.832 2.832
5.663 0.000 0.000
-2.832 2.832 2.832
0.000 5.663 0.000
0.000 0.000 5.663
2.832 2.832 2.832
0.000 0.000 0.000
5.663 2.814 -2.814
5.663 -2.814 2.814
2.814 5.663 -2.814
2.849 2.849 0.000
2.849 0.000 2.849
2.814 -2.814 5.663
5.663 2.814 2.814
0.000 2.849 2.849
-2.814 5.663 2.814
-2.814 2.814 5.663
2.814 5.663 2.814
2.814 2.814 5.663


KThF5 PBE optimized geometry; energy relative to the elements, uncorrected = -3820 meV/atom; symmetry = C2/c
1.0
2.298 -8.516 0.000
2.298 8.516 0.000
-0.320 0.000 6.158
K Th F
2 2 10
Cartesian
2.058 5.404 4.619
2.218 -5.404 1.540
2.058 1.319 4.619
2.218 -1.319 1.540
2.218 6.608 1.540
1.124 0.540 2.514
0.964 -0.540 5.594
1.920 3.020 6.060
2.197 3.020 3.178
2.080 -3.020 2.981
2.357 -3.020 0.098
3.312 0.540 0.565
3.152 -0.540 3.644
2.058 -6.608 4.619